This record from OQMD describes an optimized crystal structure of GdNbRe. The functional is PBE.

Computed properties:
* crystal system: cubic
* M_tot: 0.005 μB per cell
* distance to the lowest polymorph of the same formula: 0.000 eV/atom
* raw total energy: -0.3052 hartree per atom
* ΔE_f: 753 meV/atom
* symmetry: F-43m (216)

The structure in CIF format:
```
data_GdNbRe
_chemical_formula_sum 'Gd1 Nb1 Re1'
_cell_length_a 4.556
_cell_length_b 4.556
_cell_length_c 4.556
_cell_angle_alpha 60.00
_cell_angle_beta 60.00
_cell_angle_gamma 60.00
_space_group_name_H-M_alt 'P 1'
_space_group_IT_number 1
_space_group_name_Hall 'P 1'
loop_
_atom_site_label
_atom_site_fract_x
_atom_site_fract_y
_atom_site_fract_z
Gd1 0.000 0.000 0.000
Nb1 0.250 0.250 0.250
Re1 0.500 0.500 0.500
```